Below is Tl2InPb after structural relaxation, with properties calculated at the PBE-GGA level.

Electronic total energy (eV per atom): -2.78
Energy of formation (eV/atom): 0.018
Offset from the most stable computed form (eV/atom): 0.020
Fermi-level density of states (states/eV per cell): 6.6

a b c (Å): 7.8566 7.8566 7.8566
angles (deg): 90.00 90.00 90.00
With the nearest neighbours (Å) after each atom.
Space group Fm-3m (No. 225)
One atom of each set of equivalent atoms:
1 Tl 0.2500 0.2500 0.2500 [8 per cell]  4 Pb 3.40, 4 In 3.40
2 In 0.0000 0.0000 0.0000 [4 per cell]  8 Tl 3.40
3 Pb 0.0000 0.0000 0.5000 [4 per cell]  8 Tl 3.40